(1)
Computed, not measured: a relaxed Dy2Y2HoMg2 crystal at the GGA-PBE level of DFT.

Cell: 5.4450 5.4450 23.9530 Å, 90.00 90.00 120.00°
Space group R-3m (No. 166, hexagonal axes)
One atom of each set of equivalent atoms:
Dy (0.0000, 0.0000, 0.0739)
Y (0.0000, 0.0000, 0.3455)
Ho (0.0000, 0.0000, 0.5000)
Mg (0.0000, 0.0000, 0.2111)

Results
E_form (meV per atom): -11.9

---

(2)
Computed, not measured: a relaxed BTeOsN2 crystal at the GGA-PBE level of DFT.

Cell: 3.653 3.653 4.649 Å, 90.00 90.00 90.00°
Space group P4/mmm (No. 123)
One atom of each set of equivalent atoms:
B (0.000, 0.000, 0.000)
Te (0.000, 0.000, 0.500)
Os (0.500, 0.500, 0.500)
N (0.000, 0.500, 0.000)

Results
Energy above the lowest structure with this stoichiometry (meV per atom): 979
Uncorrected formation energy (meV per atom): 2162

---

(3)
Computed, not measured: a relaxed YCo4Ir crystal at the GGA-PBE level of DFT.

Cell: 6.923 6.923 6.923 Å, 90.00 90.00 90.00°
Space group F-43m (No. 216)
One atom of each set of equivalent atoms:
Y (0.000, 0.000, 0.000)
Co (0.125, 0.125, 0.625)
Ir (0.250, 0.250, 0.250)

Results
E_form (meV per atom): -104.6

---

(4)
Computed, not measured: a relaxed BaCdGaPb crystal at the GGA-PBE level of DFT.

Cell: 7.840 7.840 7.840 Å, 90.00 90.00 90.00°
Space group F-43m (No. 216)
One atom of each set of equivalent atoms:
Ba (0.000, 0.000, 0.000)
Cd (0.250, 0.250, 0.250)
Ga (0.250, 0.250, 0.750)
Pb (0.000, 0.000, 0.500)

Results
E_form (meV per atom): -234.8

---

(5)
Computed, not measured: a relaxed Th2TcAs crystal at the GGA-PBE level of DFT.

Cell: 5.920 5.915 13.210 Å, 90.00 116.07 90.00°
Space group P2/c (No. 13)
One atom of each set of equivalent atoms:
Th (0.112, 0.236, 0.115)
Th (0.387, 0.253, 0.865)
Tc (0.121, 0.254, 0.626)
As (0.378, 0.247, 0.375)

Results
Energy above the lowest structure with this stoichiometry (meV per atom): 0
E_form (meV per atom): -579.0

---

(6)
Computed, not measured: a relaxed KFeCo2 crystal at the GGA-PBE level of DFT.

Cell: 2.7489 2.7489 28.0505 Å, 90.00 90.00 120.00°
Space group R-3m (No. 166, hexagonal axes)
One atom of each set of equivalent atoms:
K (0.0000, 0.0000, 0.0000)
Fe (0.0000, 0.0000, 0.5000)
Co (0.0000, 0.0000, 0.2322)

Results
Energy above the lowest structure with this stoichiometry (meV per atom): 135
E_form (meV per atom): 769.1

---

(7)
Computed, not measured: a relaxed SmPuCuS4 crystal at the GGA-PBE level of DFT.

Cell: 6.736 5.540 7.922 Å, 90.00 106.87 90.00°
Space group P2_1/m (No. 11)
One atom of each set of equivalent atoms:
Sm (0.230, 0.250, 0.433)
Pu (0.240, 0.250, 0.937)
Cu (0.250, 0.750, 0.186)
S (0.070, 0.750, 0.389)
S (0.073, 0.750, 0.895)
S (0.483, 0.514, 0.746)

Results
Uncorrected formation energy (meV per atom): -1343

---

(8)
Computed, not measured: a relaxed LiNdYAl crystal at the GGA-PBE level of DFT.

Cell: 7.414 7.414 7.414 Å, 90.00 90.00 90.00°
Space group F-43m (No. 216)
One atom of each set of equivalent atoms:
Li (0.000, 0.000, 0.000)
Nd (0.250, 0.250, 0.750)
Y (0.250, 0.250, 0.250)
Al (0.000, 0.000, 0.500)

Results
E_form (meV per atom): -214.7